Entry 1:
A plane-wave DFT calculation with SCAN was carried out for a PBEsol-optimized structure of InClF2.

a b c (Å): 5.936 5.936 5.936
angles (deg): 90.00 90.00 90.00
Space group Fm-3m (No. 225)
Inequivalent atoms, fractional coordinates:
In 0.000 0.000 0.000 x4
Cl 0.000 0.000 0.500 x4
F 0.250 0.250 0.250 x8

Electronic total energy ... -13.365 eV per atom
Total magnetic moment ... 0.0 μB per formula unit
Fermi-level density of states ... 0.5126 states/eV/atom



Entry 2:
A plane-wave DFT calculation with SCAN was carried out for a PBEsol-optimized structure of IrClF3.

a b c (Å): 4.250 4.250 4.250
angles (deg): 90.00 90.00 90.00
Space group Pm-3m (No. 221)
Inequivalent atoms, fractional coordinates:
Ir 0.000 0.000 0.000 x1
Cl 0.500 0.500 0.500 x1
F 0.000 0.500 0.500 x3

Electronic total energy ... -17.044 eV per atom
Total magnetic moment ... 3.9 μB per formula unit
Fermi-level density of states ... 0.8524 states/eV/atom



Entry 3:
A plane-wave DFT calculation with SCAN was carried out for a PBEsol-optimized structure of IrClF3.

a b c (Å): 4.046 4.046 4.046
angles (deg): 90.00 90.00 90.00
Space group Pm-3m (No. 221)
Inequivalent atoms, fractional coordinates:
Ir 0.000 0.000 0.000 x1
Cl 0.500 0.500 0.500 x1
F 0.000 0.000 0.500 x3

Electronic total energy ... -18.574 eV per atom
Total magnetic moment ... 1.0 μB per formula unit
Fermi-level density of states ... 1.3776 states/eV/atom



Entry 4:
A plane-wave DFT calculation with SCAN was carried out for a PBEsol-optimized structure of IrCl4F6.

a b c (Å): 5.348 10.784 7.377
angles (deg): 90.00 90.39 90.00
Space group P2_1/c (No. 14)
Inequivalent atoms, fractional coordinates:
Ir 0.000 0.000 0.000 x2
Cl 0.237 0.136 0.468 x4
Cl 0.474 0.646 0.867 x4
F 0.111 0.640 0.633 x4
F 0.125 0.571 0.286 x4
F 0.305 0.081 0.043 x4

Electronic total energy ... -12.258 eV per atom
Total magnetic moment ... 3.0 μB per formula unit
Fermi-level density of states ... 0.4593 states/eV/atom



Entry 5:
A plane-wave DFT calculation with SCAN was carried out for a PBEsol-optimized structure of P2IrClF6.

a b c (Å): 10.498 10.101 15.246
angles (deg): 90.00 121.61 90.00
Space group P2_1/c (No. 14)
Inequivalent atoms, fractional coordinates:
P 0.236 0.142 0.246 x4
P 0.249 0.594 0.262 x4
P 0.251 0.599 0.058 x4
P 0.257 0.147 0.050 x4
Ir 0.381 0.511 0.207 x4
Ir 0.382 0.227 0.203 x4
Cl 0.488 0.626 0.849 x4
Cl 0.498 0.634 0.647 x4
F 0.090 0.221 0.217 x4
F 0.115 0.518 0.972 x4
F 0.121 0.506 0.255 x4
F 0.130 0.235 0.964 x4
F 0.156 0.724 0.217 x4
F 0.161 0.004 0.206 x4
F 0.165 0.016 0.026 x4
F 0.168 0.734 0.039 x4
F 0.298 0.124 0.364 x4
F 0.328 0.628 0.380 x4
F 0.330 0.626 0.996 x4
F 0.343 0.117 0.994 x4

Electronic total energy ... -14.271 eV per atom
Total magnetic moment ... 0.0 μB per formula unit
Fermi-level density of states ... 0.0296 states/eV/atom



Entry 6:
A plane-wave DFT calculation with SCAN was carried out for a PBEsol-optimized structure of ScIr2ClF.

a b c (Å): 4.312 4.312 4.640
angles (deg): 90.00 90.00 90.00
Space group P4/mmm (No. 123)
Inequivalent atoms, fractional coordinates:
Sc 0.000 0.000 0.000 x1
Ir 0.000 0.500 0.500 x2
Cl 0.500 0.500 0.500 x1
F 0.500 0.500 0.000 x1

Electronic total energy ... -33.303 eV per atom
Total magnetic moment ... 0.0 μB per formula unit
Fermi-level density of states ... 0.7786 states/eV/atom



Entry 7:
A plane-wave DFT calculation with SCAN was carried out for a PBEsol-optimized structure of ScIr2ClF.

a b c (Å): 4.031 4.031 4.987
angles (deg): 90.00 90.00 90.00
Space group P4/mmm (No. 123)
Inequivalent atoms, fractional coordinates:
Sc 0.000 0.000 0.000 x1
Ir 0.000 0.500 0.500 x2
Cl 0.500 0.500 0.000 x1
F 0.500 0.500 0.500 x1

Electronic total energy ... -33.430 eV per atom
Total magnetic moment ... 0.0 μB per formula unit
Fermi-level density of states ... 0.2935 states/eV/atom



Entry 8:
A plane-wave DFT calculation with SCAN was carried out for a PBEsol-optimized structure of K3ClF.

a b c (Å): 5.367 5.367 5.367
angles (deg): 90.00 90.00 90.00
Space group Pm-3m (No. 221)
Inequivalent atoms, fractional coordinates:
K 0.000 0.000 0.500 x3
Cl 0.500 0.500 0.500 x1
F 0.000 0.000 0.000 x1

Electronic total energy ... -9.035 eV per atom
Total magnetic moment ... 0.0 μB per formula unit
Fermi-level density of states ... 0.2149 states/eV/atom



Entry 9:
A plane-wave DFT calculation with SCAN was carried out for a PBEsol-optimized structure of KClF2.

a b c (Å): 4.2835 4.2835 17.1162
angles (deg): 90.00 90.00 120.00
Space group R-3m (No. 166, hexagonal axes)
Inequivalent atoms, fractional coordinates:
K 0.0000 0.0000 0.0000 x3
Cl 0.0000 0.0000 0.5000 x3
F 0.0000 0.0000 0.3908 x6

Electronic total energy ... -7.626 eV per atom
Total magnetic moment ... 0.0 μB per formula unit
Fermi-level density of states ... 0.0000 states/eV/atom



Entry 10:
A plane-wave DFT calculation with SCAN was carried out for a PBEsol-optimized structure of KSbClF3.

a b c (Å): 7.806 7.946 14.796
angles (deg): 90.00 90.00 90.00
Space group Pbca (No. 61)
Inequivalent atoms, fractional coordinates:
K 0.180 0.199 0.059 x8
Sb 0.134 0.005 0.322 x8
Cl 0.018 0.130 0.851 x8
F 0.111 0.739 0.850 x8
F 0.117 0.002 0.652 x8
F 0.166 0.033 0.454 x8

Electronic total energy ... -13.073 eV per atom
Total magnetic moment ... 0.0 μB per formula unit
Fermi-level density of states ... 0.0000 states/eV/atom



Entry 11:
A plane-wave DFT calculation with SCAN was carried out for a PBEsol-optimized structure of K2TeClF5.

a b c (Å): 4.553 10.585 15.102
angles (deg): 90.00 106.82 90.00
Space group P2_1/c (No. 14)
Inequivalent atoms, fractional coordinates:
K 0.143 0.078 0.396 x4
K 0.175 0.657 0.422 x4
Te 0.328 0.633 0.684 x4
Cl 0.341 0.128 0.604 x4
F 0.065 0.141 0.908 x4
F 0.104 0.001 0.229 x4
F 0.113 0.742 0.242 x4
F 0.374 0.501 0.592 x4
F 0.381 0.722 0.101 x4

Electronic total energy ... -11.292 eV per atom
Total magnetic moment ... 0.0 μB per formula unit
Fermi-level density of states ... 0.0000 states/eV/atom



Entry 12:
A plane-wave DFT calculation with SCAN was carried out for a PBEsol-optimized structure of LaCl3F.

a b c (Å): 4.670 4.670 4.670
angles (deg): 90.00 90.00 90.00
Space group Pm-3m (No. 221)
Inequivalent atoms, fractional coordinates:
La 0.000 0.000 0.000 x1
Cl 0.000 0.500 0.500 x3
F 0.500 0.500 0.500 x1

Electronic total energy ... -15.451 eV per atom
Total magnetic moment ... 1.2 μB per formula unit
Fermi-level density of states ... 0.6628 states/eV/atom